No. 1
The following is a DFT calculation (GGA-PBE) of a geometry-optimized MgBe2Hg structure.

Its energy above the lowest structure with this stoichiometry is 0.20 eV per formula unit. The value obtained for the formation energy is 1.2 eV/f.u. The calculation puts the volume at 59.7 Å³ per cell.

The space group is Pmm2 (No. 25) and the conventional cell measures 2.9774, 3.0248 and 6.6251 Å, with angles of 90.00, 90.00 and 90.00 degrees. The inequivalent atoms are Mg at (0.0000, 0.0000, 0.0000), Be at (0.0000, 0.0000, 0.3987), Be at (0.5000, 0.5000, 0.2683) and Hg at (0.5000, 0.5000, 0.6712).


No. 2
The following is a DFT calculation (GGA-PBE) of a geometry-optimized TaCuBr2 structure.

Its energy above the lowest structure with this stoichiometry is 2.10 eV per formula unit. The calculation puts the volume at 191.5 Å³ per cell.

The space group is Cmmm (No. 65) and the conventional cell measures 3.0859, 5.9107 and 10.5003 Å, with angles of 90.00, 90.00 and 90.00 degrees. The inequivalent atoms are Ta at (0.0000, 0.0000, 0.0000), Cu at (0.0000, 0.0000, 0.5000) and Br at (0.0000, 0.5000, 0.2029).


No. 3
The following is a DFT calculation (GGA-PBE) of a geometry-optimized TbSm3Y2As6 structure.

The value obtained for the formation energy is -18.5 eV/f.u. The calculation puts the volume at 616.1 Å³ per cell.

The space group is C2/m (No. 12) and the conventional cell measures 18.1801, 4.1740 and 8.3402 Å, with angles of 90.00, 103.23 and 90.00 degrees. The inequivalent atoms are Tb at (0.0000, 0.0000, 0.0000), Sm at (0.0000, 0.0000, 0.5000), Sm at (0.1667, 0.5000, 0.8331), Y at (0.1667, 0.5000, 0.3333), As at (0.0012, 0.5000, 0.2474), As at (0.1657, 0.0000, 0.0862) and As at (0.1678, 0.0000, 0.5802).


No. 4
The following is a DFT calculation (GGA-PBE) of a geometry-optimized AgAuCl3 structure.

Its energy above the lowest structure with this stoichiometry is 0.00 eV per formula unit. The calculation puts the volume at 560.4 Å³ per cell.

The space group is P2_1/c (No. 14) and the conventional cell measures 6.1694, 6.9329 and 14.0490 Å, with angles of 90.00, 111.16 and 90.00 degrees. The inequivalent atoms are Ag at (0.1427, 0.1449, 0.1720), Au at (0.4303, 0.6990, 0.4999), Cl at (0.0712, 0.0440, 0.7399), Cl at (0.2173, 0.6673, 0.6035) and Cl at (0.3803, 0.1610, 0.5968).


No. 5
The following is a DFT calculation (GGA-PBE) of a geometry-optimized CeAl2GePd4 structure.

The value obtained for the formation energy is -5.3 eV/f.u. The calculation puts the volume at 425.3 Å³ per cell.

The space group is R-3m (No. 166, hexagonal axes) and the conventional cell measures 4.3218, 4.3218 and 26.2937 Å, with angles of 90.00, 90.00 and 120.00 degrees. The inequivalent atoms are Ce at (0.0000, 0.0000, 0.0000), Al at (0.0000, 0.0000, 0.2425), Ge at (0.0000, 0.0000, 0.5000), Pd at (0.0000, 0.0000, 0.1339) and Pd at (0.0000, 0.0000, 0.4024).


No. 6
The following is a DFT calculation (GGA-PBE) of a geometry-optimized BaReN3 structure.

The calculation puts the volume at 188.1 Å³ per cell. As for the total energy: -8.118 eV/atom.

The space group is P1 (No. 1) and the conventional cell measures 4.4353, 6.6127 and 7.2591 Å, with angles of 104.10, 106.06 and 103.28 degrees. The inequivalent atoms are Ba at (0.0000, 0.0000, 0.0000), Ba at (0.1065, 0.6892, 0.4366), Re at (0.3547, 0.3341, 0.7170), Re at (0.7494, 0.1846, 0.5244), N at (0.1513, 0.4854, 0.0830), N at (0.2392, 0.4243, 0.9444), N at (0.5451, 0.0844, 0.7059), N at (0.5685, 0.4360, 0.5060), N at (0.6350, 0.6011, 0.6875) and N at (0.6526, 0.0005, 0.2758).


No. 7
The following is a DFT calculation (GGA-PBE) of a geometry-optimized DyTeRhO6 structure.

The calculation puts the volume at 220.7 Å³ per cell. As for the total energy: -6.418 eV/atom.

The space group is P-31c (No. 163) and the conventional cell measures 5.4745, 5.4745 and 8.5037 Å, with angles of 90.00, 90.00 and 120.00 degrees. The inequivalent atoms are Dy at (0.3333, 0.6667, 0.2500), Te at (0.3333, 0.6667, 0.7500), Rh at (0.0000, 0.0000, 0.0000) and O at (0.0391, 0.3562, 0.6221).


No. 8
The following is a DFT calculation (GGA-PBE) of a geometry-optimized Ca2Sb4Pd9 structure.

The calculation puts the volume at 292.7 Å³ per cell. As for the total energy: -5.050 eV/atom.

The space group is P-3m1 (No. 164) and the conventional cell measures 4.5450, 4.5450 and 16.3586 Å, with angles of 90.00, 90.00 and 120.00 degrees. The inequivalent atoms are Ca at (0.3333, 0.6667, 0.2553), Sb at (0.3333, 0.6667, 0.6107), Sb at (0.3333, 0.6667, 0.8898), Pd at (0.0000, 0.0000, 0.0000), Pd at (0.0000, 0.0000, 0.1694), Pd at (0.0000, 0.0000, 0.3537), Pd at (0.3333, 0.6667, 0.0628) and Pd at (0.3333, 0.6667, 0.4486).


Copy entry 3 word for word.
The following is a DFT calculation (GGA-PBE) of a geometry-optimized TbSm3Y2As6 structure.

The value obtained for the formation energy is -18.5 eV/f.u. The calculation puts the volume at 616.1 Å³ per cell.

The space group is C2/m (No. 12) and the conventional cell measures 18.1801, 4.1740 and 8.3402 Å, with angles of 90.00, 103.23 and 90.00 degrees. The inequivalent atoms are Tb at (0.0000, 0.0000, 0.0000), Sm at (0.0000, 0.0000, 0.5000), Sm at (0.1667, 0.5000, 0.8331), Y at (0.1667, 0.5000, 0.3333), As at (0.0012, 0.5000, 0.2474), As at (0.1657, 0.0000, 0.0862) and As at (0.1678, 0.0000, 0.5802).